The following is a DFT calculation (PBE) of a geometry-optimized KZr3Ni structure.

Results
Volume: 130.2 Å³ per cell
DOS at the Fermi energy: 1.127 states/eV per atom
Formation energy from the elements: 0.597 eV/atom
ρ: 4.74 Mg/m³
Energy above the most stable polymorph in this dataset: 0.00 eV/f.u.

a b c (Å): 5.0687 5.0687 5.0687
angles (deg): 90.00 90.00 90.00
With the nearest neighbours (Å) after each atom.
Space group Pm-3m (No. 221)
Asymmetric unit:
K 0.0000 0.0000 0.0000 [1 per cell]  12 Zr 3.58
Zr 0.0000 0.5000 0.5000 [3 per cell]  2 Ni 2.53
Ni 0.5000 0.5000 0.5000 [1 per cell]  6 Zr 2.53

---

The following is a DFT calculation (PBE) of a geometry-optimized Sc2I2O structure.

Results
Volume: 564.0 Å³ per cell
DOS at the Fermi energy: 0.453 states/eV per atom
Final energy: -5.935 eV per atom
ρ: 4.24 Mg/m³

a b c (Å): 21.8441 3.8242 6.7857
angles (deg): 90.00 95.74 90.00
With the nearest neighbours (Å) after each atom.
Space group C2/m (No. 12)
Asymmetric unit:
Sc 0.1914 0.0000 0.3772 [4 per cell]  1 O 2.05
Sc 0.1908 0.5000 0.9538 [4 per cell]  3 O 2.06-2.20
I 0.0909 0.5000 0.2170 [4 per cell]  3 Sc 2.95-3.03
I 0.1108 0.0000 0.7126 [4 per cell]  3 Sc 2.97-3.01, 1 O 3.32
O 0.2178 0.0000 0.0959 [4 per cell]  4 Sc 2.05-2.20

---

The following is a DFT calculation (PBE) of a geometry-optimized U2SbS6 structure.

Results
Volume: 547.6 Å³ per cell
DOS at the Fermi energy: 1.111 states/eV per atom
ρ: 4.79 Mg/m³
Energy above the most stable polymorph in this dataset: 0.00 eV/f.u.

a b c (Å): 17.4626 3.9966 8.0614
angles (deg): 90.00 103.26 90.00
With the nearest neighbours (Å) after each atom.
Space group C2/m (No. 12)
Asymmetric unit:
U 0.1659 0.0000 0.3259 [4 per cell]  6 S 2.59-2.70
Sb 0.0000 0.5000 0.0000 [2 per cell]  6 S 2.75
S 0.0136 0.0000 0.2402 [4 per cell]  1 U 2.59, 2 Sb 2.75
S 0.1612 0.5000 0.1054 [4 per cell]  2 U 2.66, 1 Sb 2.75
S 0.1767 0.5000 0.5539 [4 per cell]  3 U 2.69-2.70

---

The following is a DFT calculation (PBE) of a geometry-optimized LiAc2PuO5 structure.

Results
Volume: 135.0 Å³ per cell
DOS at the Fermi energy: 0.881 states/eV per atom
Final energy: -8.317 eV per atom
ρ: 9.66 Mg/m³

a b c (Å): 3.7928 3.7928 9.3816
angles (deg): 90.00 90.00 90.00
With the nearest neighbours (Å) after each atom.
Space group P4/mmm (No. 123)
Asymmetric unit:
Li 0.0000 0.0000 0.0000 [1 per cell]  4 O 1.90
Ac 0.5000 0.5000 0.1828 [2 per cell]  8 O 2.56-2.80
Pu 0.0000 0.0000 0.5000 [1 per cell]  2 O 2.17
O 0.0000 0.0000 0.2683 [2 per cell]  1 Pu 2.17
O 0.0000 0.5000 0.0000 [2 per cell]  2 Li 1.90
O 0.5000 0.5000 0.5000 [1 per cell]  4 Pu 2.68, 2 Ac 2.98

---

The following is a DFT calculation (PBE) of a geometry-optimized Ba2CuNiHg structure.

Results
Volume: 162.1 Å³ per cell
DOS at the Fermi energy: 0.617 states/eV per atom
Formation energy from the elements: -0.042 eV/atom
ρ: 6.12 Mg/m³

a b c (Å): 5.9268 5.9268 4.6143
angles (deg): 90.00 90.00 90.00
With the nearest neighbours (Å) after each atom.
Space group P4/mmm (No. 123)
Asymmetric unit:
Ba 0.0000 0.5000 0.0000 [2 per cell]  2 Ni 2.96
Cu 0.0000 0.0000 0.5000 [1 per cell]  2 Ni 2.31
Ni 0.0000 0.0000 0.0000 [1 per cell]  2 Cu 2.31
Hg 0.5000 0.5000 0.5000 [1 per cell]  8 Ba 3.76, 4 Cu 4.19

---

The following is a DFT calculation (PBE) of a geometry-optimized LaAlSi2 structure.

Results
Volume: 165.3 Å³ per cell
DOS at the Fermi energy: 0.345 states/eV per atom
Final energy: -5.022 eV per atom
ρ: 4.46 Mg/m³

a b c (Å): 4.2941 4.2941 8.9627
angles (deg): 90.00 90.00 90.00
With the nearest neighbours (Å) after each atom.
Space group I4/mmm (No. 139)
Asymmetric unit:
La 0.0000 0.0000 0.0000 [2 per cell]  4 Al 3.04, 8 Si 3.10
Al 0.0000 0.0000 0.5000 [2 per cell]  4 La 3.04, 8 Si 3.10
Si 0.0000 0.5000 0.2500 [4 per cell]  4 Si 3.04, 4 La 3.10, 4 Al 3.10

---

The following is a DFT calculation (PBE) of a geometry-optimized V12Ge6Rh structure.

Results
Volume: 868.2 Å³ per cell
DOS at the Fermi energy: 1.139 states/eV per atom
Formation energy from the elements: 0.036 eV/atom
ρ: 6.60 Mg/m³

a b c (Å): 11.5611 11.5611 7.5003
angles (deg): 90.00 90.00 120.00
With the nearest neighbours (Å) after each atom.
Space group R-3 (No. 148, hexagonal axes)
Asymmetric unit:
V 0.0511 0.2446 0.4145 [18 per cell]  3 V 2.43-2.71, 3 Ge 2.50-2.57, 1 Rh 2.66
V 0.0548 0.1711 0.7547 [18 per cell]  2 V 2.43-2.70, 3 Ge 2.53-2.63, 1 Rh 2.59
Ge 0.0795 0.2522 0.0739 [18 per cell]  6 V 2.50-2.63
Rh 0.0000 0.0000 0.5000 [3 per cell]  12 V 2.59-2.66

---

The following is a DFT calculation (PBE) of a geometry-optimized DyGa7Rh2 structure.

Results
Volume: 430.2 Å³ per cell
DOS at the Fermi energy: 0.463 states/eV per atom
Formation energy from the elements: -0.195 eV/atom
ρ: 6.61 Mg/m³

a b c (Å): 7.6380 13.5421 4.1588
angles (deg): 90.00 90.00 90.00
With the nearest neighbours (Å) after each atom.
Space group Cmmm (No. 65)
Asymmetric unit:
Dy 0.0000 0.0000 0.0000 [2 per cell]  10 Ga 3.10-3.16
Ga 0.0000 0.2288 0.0000 [4 per cell]  2 Rh 2.43
Ga 0.0000 0.5000 0.5000 [2 per cell]  2 Rh 2.41
Ga 0.1828 0.1418 0.5000 [8 per cell]  1 Rh 2.47, 2 Ga 2.77
Rh 0.0000 0.3221 0.5000 [4 per cell]  5 Ga 2.41-2.47

---

The following is a DFT calculation (PBE) of a geometry-optimized Er3Al3Cd2 structure.

Results
Volume: 738.0 Å³ per cell
DOS at the Fermi energy: 0.618 states/eV per atom
Formation energy from the elements: -0.352 eV/atom
ρ: 7.27 Mg/m³

a b c (Å): 4.5291 11.0835 14.7025
angles (deg): 90.00 90.00 90.00
With the nearest neighbours (Å) after each atom.
Space group Cmcm (No. 63)
Asymmetric unit:
Er 0.0000 0.0758 0.1153 [8 per cell]  6 Al 3.08-3.28, 3 Cd 3.25
Er 0.0000 0.3476 0.2500 [4 per cell]  5 Al 3.07-3.28, 4 Cd 3.29
Al 0.0000 0.3660 0.7500 [4 per cell]  2 Cd 2.82, 4 Er 3.08
Al 0.0000 0.3995 0.0447 [8 per cell]  1 Al 2.59, 3 Cd 2.71-2.89
Cd 0.0000 0.2161 0.5953 [8 per cell]  4 Al 2.71-2.89

---

The following is a DFT calculation (PBE) of a geometry-optimized HoTm2Sn2 structure.

Results
Volume: 563.1 Å³ per cell
DOS at the Fermi energy: 0.606 states/eV per atom
Formation energy from the elements: -0.582 eV/atom
ρ: 8.73 Mg/m³

a b c (Å): 4.8810 17.9684 6.4205
angles (deg): 90.00 90.00 90.00
With the nearest neighbours (Å) after each atom.
Space group Cmc2_1 (No. 36)
Asymmetric unit:
Ho 0.0000 0.1073 0.0000 [4 per cell]  5 Sn 2.96-3.27
Tm 0.0000 0.3124 0.9971 [4 per cell]  6 Sn 3.16-3.22
Tm 0.0000 0.4995 0.2493 [4 per cell]  4 Sn 3.20-3.21, 2 Tm 3.21, 4 Ho 3.50
Sn 0.0000 0.0738 0.4993 [4 per cell]  6 Tm 3.18-3.21, 3 Ho 3.25-3.27
Sn 0.0000 0.2996 0.4967 [4 per cell]  2 Ho 2.96, 4 Tm 3.16-3.22

---

The following is a DFT calculation (PBE) of a geometry-optimized CoCu2OsI structure.

Results
Volume: 112.6 Å³ per cell
DOS at the Fermi energy: 1.957 states/eV per atom
Final energy: -3.916 eV per atom
ρ: 7.42 Mg/m³

a b c (Å): 4.7245 4.7245 5.0432
angles (deg): 90.00 90.00 90.00
With the nearest neighbours (Å) after each atom.
Space group P4/mmm (No. 123)
Asymmetric unit:
Co 0.0000 0.0000 0.0000 [1 per cell]  4 I 3.34, 8 Cu 3.46
Cu 0.0000 0.5000 0.5000 [2 per cell]  2 Os 2.36
Os 0.5000 0.5000 0.5000 [1 per cell]  4 Cu 2.36, 2 I 2.52
I 0.5000 0.5000 0.0000 [1 per cell]  2 Os 2.52

---

The following is a DFT calculation (PBE) of a geometry-optimized BaTc2Br structure.

Results
Volume: 95.9 Å³ per cell
DOS at the Fermi energy: 1.121 states/eV per atom
ρ: 7.16 Mg/m³
Energy above the most stable polymorph in this dataset: 3.50 eV/f.u.

a b c (Å): 3.1814 4.8793 6.1771
angles (deg): 90.00 90.00 90.00
With the nearest neighbours (Å) after each atom.
Space group Pmmm (No. 47)
Asymmetric unit:
Ba 0.0000 0.0000 0.0000 [1 per cell]  2 Br 3.09, 2 Ba 3.18
Tc 0.5000 0.5000 0.3257 [2 per cell]  1 Tc 2.15
Br 0.0000 0.0000 0.5000 [1 per cell]  2 Ba 3.09, 8 Tc 3.11, 2 Br 3.18

---

The following is a DFT calculation (PBE) of a geometry-optimized LiYPbCl6 structure.

Results
Volume: 500.5 Å³ per cell
DOS at the Fermi energy: 0.000 states/eV per atom
Final energy: -4.372 eV per atom
ρ: 3.42 Mg/m³

a b c (Å): 6.7618 6.7618 12.6397
angles (deg): 90.00 90.00 120.00
With the nearest neighbours (Å) after each atom.
Space group P-31c (No. 163)
Asymmetric unit:
Li 0.3333 0.6667 0.2500 [2 per cell]  6 Cl 2.61
Y 0.3333 0.6667 0.7500 [2 per cell]  6 Cl 2.66
Pb 0.0000 0.0000 0.0000 [2 per cell]  6 Cl 2.94
Cl 0.0052 0.3585 0.1332 [12 per cell]  1 Li 2.61, 1 Y 2.66

---

The following is a DFT calculation (PBE) of a geometry-optimized BaMg6W structure.

Results
Volume: 186.0 Å³ per cell
DOS at the Fermi energy: 0.434 states/eV per atom
Formation energy from the elements: 0.419 eV/atom
ρ: 4.17 Mg/m³
Energy above the most stable polymorph in this dataset: 0.51 eV/f.u.

a b c (Å): 6.4359 6.4359 5.1856
angles (deg): 90.00 90.00 120.00
With the nearest neighbours (Å) after each atom.
Space group P-6m2 (No. 187)
Asymmetric unit:
Ba 0.0000 0.0000 0.0000 [1 per cell]  12 Mg 3.22-3.25
Mg 0.0356 0.5178 0.0000 [3 per cell]  2 Mg 2.87, 2 W 3.08
Mg 0.3512 0.1756 0.5000 [3 per cell]  8 Mg 3.05-3.39, 2 W 3.22, 2 Ba 3.25
W 0.3333 0.6667 0.5000 [1 per cell]  12 Mg 3.08-3.22

---

The following is a DFT calculation (PBE) of a geometry-optimized BiMoSe2 structure.

Results
Volume: 287.7 Å³ per cell
DOS at the Fermi energy: 0.732 states/eV per atom
Final energy: -5.647 eV per atom
ρ: 8.01 Mg/m³

a b c (Å): 3.3953 3.3953 28.8180
angles (deg): 90.00 90.00 120.00
With the nearest neighbours (Å) after each atom.
Space group R-3m (No. 166, hexagonal axes)
Asymmetric unit:
Bi 0.0000 0.0000 0.0000 [3 per cell]  2 Se 3.13, 6 Bi 3.40
Mo 0.0000 0.0000 0.5000 [3 per cell]  6 Se 2.57
Se 0.0000 0.0000 0.1087 [6 per cell]  3 Mo 2.57

---

The following is a DFT calculation (PBE) of a geometry-optimized K2ZnRe structure.

Results
Volume: 182.9 Å³ per cell
DOS at the Fermi energy: 0.859 states/eV per atom
Formation energy from the elements: 1.215 eV/atom
ρ: 5.99 Mg/m³

a b c (Å): 5.7780 11.4089 2.7747
angles (deg): 90.00 90.26 90.00
With the nearest neighbours (Å) after each atom.
Space group C2/m (No. 12)
Asymmetric unit:
K 0.2500 0.2500 0.0000 [4 per cell]  4 K 2.77-2.89
Zn 0.0000 0.0000 0.5000 [2 per cell]  2 Zn 2.77, 2 Re 2.89
Re 0.0000 0.5000 0.5000 [2 per cell]  2 Re 2.77, 2 Zn 2.89

---

The following is a DFT calculation (PBE) of a geometry-optimized TlCdOsO6 structure.

Results
Volume: 126.8 Å³ per cell
DOS at the Fermi energy: 0.223 states/eV per atom
Final energy: -5.690 eV per atom
ρ: 7.90 Mg/m³

a b c (Å): 5.5929 5.5929 4.6797
angles (deg): 90.00 90.00 120.00
With the nearest neighbours (Å) after each atom.
Space group P312 (No. 149)
Asymmetric unit:
Tl 0.0000 0.0000 0.0000 [1 per cell]  6 O 2.43
Cd 0.3333 0.6667 0.5000 [1 per cell]  6 O 2.26
Os 0.6667 0.3333 0.5000 [1 per cell]  6 O 1.90
O 0.3945 0.0487 0.7313 [6 per cell]  1 Os 1.90

---

The following is a DFT calculation (PBE) of a geometry-optimized Nd6Dy16Tm7 structure.

Results
Volume: 3899.3 Å³ per cell
DOS at the Fermi energy: 1.735 states/eV per atom
Formation energy from the elements: 0.232 eV/atom
ρ: 7.92 Mg/m³

a b c (Å): 15.7396 15.7396 15.7396
angles (deg): 90.00 90.00 90.00
With the nearest neighbours (Å) after each atom.
Space group Fm-3m (No. 225)
Asymmetric unit:
Nd 0.0000 0.0000 0.2150 [24 per cell]  8 Dy 3.56-3.74, 4 Tm 3.97
Dy 0.1223 0.1223 0.3777 [32 per cell]  4 Tm 3.34-3.43, 3 Dy 3.59
Dy 0.1542 0.1542 0.1542 [32 per cell]  3 Tm 3.23, 3 Nd 3.56, 3 Dy 3.59
Tm 0.0000 0.0000 0.5000 [4 per cell]  8 Dy 3.34
Tm 0.0000 0.2500 0.2500 [24 per cell]  8 Dy 3.23-3.43

---

The following is a DFT calculation (PBE) of a geometry-optimized YEr5Tl5 structure.

Results
Volume: 655.5 Å³ per cell
DOS at the Fermi energy: 0.882 states/eV per atom
Formation energy from the elements: -0.087 eV/atom
ρ: 9.86 Mg/m³

a b c (Å): 15.9891 5.8546 7.1011
angles (deg): 90.00 99.55 90.00
With the nearest neighbours (Å) after each atom.
Space group C2/m (No. 12)
Asymmetric unit:
Y 0.0000 0.0000 0.0000 [2 per cell]  4 Tl 2.93-3.11
Er 0.0000 0.0000 0.5000 [2 per cell]  4 Tl 3.02-3.35
Er 0.1327 0.5000 0.4031 [4 per cell]  4 Tl 3.14-3.35
Er 0.1753 0.5000 0.9131 [4 per cell]  5 Tl 2.97-3.20
Tl 0.0000 0.5000 0.0000 [2 per cell]  2 Y 2.93, 4 Er 2.97-3.27
Tl 0.1710 0.0000 0.2835 [4 per cell]  4 Er 3.02-3.35, 1 Y 3.11, 1 Tl 3.18
Tl 0.1765 0.0000 0.7327 [4 per cell]  5 Er 3.02-3.35, 1 Tl 3.18

---

The following is a DFT calculation (PBE) of a geometry-optimized HoGaNiPt structure.

Results
Volume: 271.2 Å³ per cell
DOS at the Fermi energy: 0.750 states/eV per atom
Formation energy from the elements: -0.680 eV/atom
ρ: 11.96 Mg/m³

a b c (Å): 6.4730 6.4730 6.4730
angles (deg): 90.00 90.00 90.00
With the nearest neighbours (Å) after each atom.
Space group F-43m (No. 216)
Asymmetric unit:
Ho 0.0000 0.0000 0.0000 [4 per cell]  4 Ni 2.80, 4 Pt 2.80
Ga 0.0000 0.0000 0.5000 [4 per cell]  4 Pt 2.80, 4 Ni 2.80
Ni 0.2500 0.2500 0.2500 [4 per cell]  4 Ho 2.80, 4 Ga 2.80
Pt 0.2500 0.2500 0.7500 [4 per cell]  4 Ho 2.80, 4 Ga 2.80